1.
A plane-wave DFT calculation with PBE-GGA was carried out for a relaxed structure of In2GePd4.

Lattice parameters (Å, degrees): 6.3855 5.4883 7.7026 90.00 111.13 90.00
Last column: nearest neighbours and their distance in Å.
Atoms (fractional coordinates):
In 0.2933 0.2500 0.4153  6 Pd 2.70-2.86
In 0.7608 0.7500 0.0327  8 Pd 2.79-2.96, 1 Ge 2.87
In 0.2392 0.2500 0.9673  8 Pd 2.79-2.96, 1 Ge 2.87
In 0.7067 0.7500 0.5847  6 Pd 2.70-2.86
Pd 0.4216 0.9942 0.7431  1 Ge 2.49, 1 Pd 2.68, 2 In 2.74-2.79
Pd 0.1104 0.7500 0.8660  1 Ge 2.47, 1 In 2.70
Pd 0.0439 0.7500 0.4334  1 Ge 2.47
Pd 0.8896 0.2500 0.1340  1 Ge 2.47, 1 In 2.70
Pd 0.5784 0.0058 0.2569  1 Ge 2.49, 1 Pd 2.68, 2 In 2.74-2.79
Pd 0.9561 0.2500 0.5666  1 Ge 2.47
Pd 0.4216 0.5058 0.7431  1 Ge 2.49, 1 Pd 2.68, 2 In 2.74-2.79
Pd 0.5784 0.4942 0.2569  1 Ge 2.49, 1 Pd 2.68, 2 In 2.74-2.79
Ge 0.7594 0.2500 0.7903  4 Pd 2.47-2.49
Ge 0.2406 0.7500 0.2097  4 Pd 2.47-2.49

Values from the calculation:
- calculated volume (A^3/atom) = 17.99
- calculated formation energy (eV per atom) = -0.33
- density of states at the Fermi level (states/eV/atom) = 0.28
- VASP energy (eV/atom) = -4.74

2.
A plane-wave DFT calculation with PBE-GGA was carried out for a relaxed structure of InGe2Pd7.

Lattice parameters (Å, degrees): 4.0767 4.0767 10.4230 101.28 101.28 90.00
Last column: nearest neighbours and their distance in Å.
Atoms (fractional coordinates):
Pd 0.6014 0.1014 0.2027  2 Ge 2.50
Pd 0.8986 0.3986 0.7973  2 Ge 2.50
Pd 0.3986 0.8986 0.7973  2 Ge 2.50
Pd 0.5000 0.5000 0.0000  8 Pd 2.88, 4 In 2.88
Pd 0.1014 0.6014 0.2027  2 Ge 2.50
Pd 0.2500 0.7500 0.5000  4 Ge 2.55
Pd 0.7500 0.2500 0.5000  4 Ge 2.55
Ge 0.3265 0.3265 0.6530  8 Pd 2.50-2.55
Ge 0.6735 0.6735 0.3470  8 Pd 2.50-2.55
In 0.0000 0.0000 0.0000  12 Pd 2.88

Values from the calculation:
- calculated volume (A^3/atom) = 16.65
- relative energy among the computed polymorphs (eV/atom) = 0.0000
- calculated formation energy (eV per atom) = -0.49
- density of states at the Fermi level (states/eV/atom) = 0.33
- VASP energy (eV/atom) = -5.32

3.
A plane-wave DFT calculation with PBE-GGA was carried out for a relaxed structure of In3GePd6.

Lattice parameters (Å, degrees): 6.6121 7.9309 7.9309 116.11 90.00 90.00
Last column: nearest neighbours and their distance in Å.
Atoms (fractional coordinates):
Pd 0.1901 0.0578 0.9422  1 Ge 2.44
Pd 0.6376 0.2346 0.7654  1 Ge 2.40
Pd 0.6307 0.2329 0.4166  4 In 2.71-2.78, 5 Pd 2.76-2.99
Pd 0.1307 0.7671 0.5834  4 In 2.71-2.78, 5 Pd 2.76-2.99
Pd 0.2826 0.0875 0.5540  1 Ge 2.52, 2 In 2.80-2.81, 1 Pd 2.82
Pd 0.7826 0.5540 0.0875  1 Ge 2.52, 2 In 2.80-2.81, 1 Pd 2.82
Pd 0.6307 0.5834 0.7671  4 In 2.71-2.78, 5 Pd 2.76-2.99
Pd 0.1307 0.4166 0.2329  4 In 2.71-2.78, 5 Pd 2.76-2.99
Pd 0.7826 0.9125 0.4460  1 Ge 2.52, 2 In 2.80-2.81, 1 Pd 2.82
Pd 0.1376 0.7654 0.2346  1 Ge 2.40
Pd 0.6901 0.9422 0.0578  1 Ge 2.44
Pd 0.2826 0.4460 0.9125  1 Ge 2.52, 2 In 2.80-2.81, 1 Pd 2.82
In 0.5206 0.2872 0.1143  7 Pd 2.72-2.90
In 0.0206 0.1143 0.2872  7 Pd 2.72-2.90
In 0.7927 0.5581 0.4419  6 Pd 2.71-2.80
In 0.0206 0.7128 0.8857  7 Pd 2.72-2.90
In 0.2927 0.4419 0.5581  6 Pd 2.71-2.80
In 0.5206 0.8857 0.7128  7 Pd 2.72-2.90
Ge 0.9972 0.2127 0.7873  4 Pd 2.40-2.52
Ge 0.4972 0.7873 0.2127  4 Pd 2.40-2.52

Values from the calculation:
- calculated volume (A^3/atom) = 18.67
- calculated formation energy (eV per atom) = -0.36
- density of states at the Fermi level (states/eV/atom) = 0.41
- VASP energy (eV/atom) = -4.76

4.
A plane-wave DFT calculation with PBE-GGA was carried out for a relaxed structure of InGePd3.

Lattice parameters (Å, degrees): 4.6496 4.6496 4.6496 90.00 90.00 90.00
Last column: nearest neighbours and their distance in Å.
Atoms (fractional coordinates):
In 0.5000 0.5000 0.5000  12 Pd 3.29
Pd 0.0000 0.5000 0.0000  2 Ge 2.32
Pd 0.0000 0.0000 0.5000  2 Ge 2.32
Pd 0.5000 0.0000 0.0000  2 Ge 2.32
Ge 0.0000 0.0000 0.0000  6 Pd 2.32

Values from the calculation:
- calculated volume (A^3/atom) = 20.10
- relative energy among the computed polymorphs (eV/atom) = 0.3917
- calculated formation energy (eV per atom) = -0.01
- density of states at the Fermi level (states/eV/atom) = 0.48
- VASP energy (eV/atom) = -4.59

5.
A plane-wave DFT calculation with PBE-GGA was carried out for a relaxed structure of InGePd4.

Lattice parameters (Å, degrees): 3.3010 7.1328 16.7354 90.00 90.00 90.00
Last column: nearest neighbours and their distance in Å.
Atoms (fractional coordinates):
Ge 0.7500 0.7511 0.0526  8 Pd 2.50-2.65
Ge 0.7500 0.2511 0.4474  8 Pd 2.50-2.65
Ge 0.2500 0.2489 0.9474  8 Pd 2.50-2.65
Ge 0.2500 0.7489 0.5526  8 Pd 2.50-2.65
Pd 0.2500 0.6430 0.1553  2 Ge 2.50, 2 In 2.70-2.78
Pd 0.7500 0.4614 0.2935  4 In 2.77-2.78, 4 Pd 2.88-2.94, 1 Ge 2.98
Pd 0.2500 0.1430 0.3447  2 Ge 2.50, 2 In 2.70-2.78
Pd 0.7500 0.8570 0.6553  2 Ge 2.50, 2 In 2.70-2.78
Pd 0.7500 0.8802 0.4465  3 Ge 2.60-2.65, 2 In 2.90
Pd 0.7500 0.9614 0.2065  4 In 2.77-2.78, 4 Pd 2.88-2.94, 1 Ge 2.98
Pd 0.7500 0.4795 0.5676  3 Ge 2.55-2.59, 1 In 2.70, 2 Pd 2.82
Pd 0.2500 0.0205 0.0676  3 Ge 2.55-2.59, 1 In 2.70, 2 Pd 2.82
Pd 0.2500 0.5386 0.7065  4 In 2.77-2.78, 4 Pd 2.88-2.94, 1 Ge 2.98
Pd 0.2500 0.5205 0.4324  3 Ge 2.55-2.59, 1 In 2.70, 2 Pd 2.82
Pd 0.7500 0.9795 0.9324  3 Ge 2.55-2.59, 1 In 2.70, 2 Pd 2.82
Pd 0.2500 0.1198 0.5535  3 Ge 2.60-2.65, 2 In 2.90
Pd 0.2500 0.0386 0.7935  4 In 2.77-2.78, 4 Pd 2.88-2.94, 1 Ge 2.98
Pd 0.7500 0.3802 0.0535  3 Ge 2.60-2.65, 2 In 2.90
Pd 0.7500 0.3570 0.8447  2 Ge 2.50, 2 In 2.70-2.78
Pd 0.2500 0.6198 0.9465  3 Ge 2.60-2.65, 2 In 2.90
In 0.7500 0.2273 0.6881  9 Pd 2.70-2.90
In 0.2500 0.7727 0.3119  9 Pd 2.70-2.90
In 0.7500 0.7273 0.8119  9 Pd 2.70-2.90
In 0.2500 0.2727 0.1881  9 Pd 2.70-2.90

Values from the calculation:
- calculated volume (A^3/atom) = 16.42
- relative energy among the computed polymorphs (eV/atom) = 0.0000
- calculated formation energy (eV per atom) = -0.49
- density of states at the Fermi level (states/eV/atom) = 0.40
- VASP energy (eV/atom) = -5.18

6.
A plane-wave DFT calculation with PBE-GGA was carried out for a relaxed structure of In3GePd3.

Lattice parameters (Å, degrees): 5.7909 5.7909 8.1373 88.84 88.84 98.18
Last column: nearest neighbours and their distance in Å.
Atoms (fractional coordinates):
Pd 0.9615 0.9615 0.2048  2 Ge 2.60-2.67, 5 In 2.80-2.86
Pd 0.5285 0.8982 0.7140  1 Ge 2.56, 3 In 2.72-2.84
Pd 0.4715 0.1018 0.2860  1 Ge 2.56, 3 In 2.72-2.84
Pd 0.0385 0.0385 0.7952  2 Ge 2.60-2.67, 5 In 2.80-2.86
Pd 0.1018 0.4715 0.2860  1 Ge 2.56, 3 In 2.72-2.84
Pd 0.8982 0.5285 0.7140  1 Ge 2.56, 3 In 2.72-2.84
In 0.8271 0.1729 0.5000  6 Pd 2.72-2.86, 1 In 3.03
In 0.2555 0.7445 0.0000  4 Pd 2.80-2.84, 4 Ge 2.82-3.02
In 0.3905 0.3905 0.6759  5 Pd 2.81-3.08, 1 Ge 3.12
In 0.6095 0.6095 0.3241  5 Pd 2.81-3.08, 1 Ge 3.12
In 0.1729 0.8271 0.5000  6 Pd 2.72-2.86, 1 In 3.03
In 0.7445 0.2555 0.0000  4 Pd 2.80-2.84, 4 Ge 2.82-3.02
Ge 0.7382 0.7382 0.9568  4 Pd 2.56-2.67, 2 In 2.82
Ge 0.2618 0.2618 0.0432  4 Pd 2.56-2.67, 2 In 2.82

Values from the calculation:
- calculated volume (A^3/atom) = 19.28
- calculated formation energy (eV per atom) = -0.32
- density of states at the Fermi level (states/eV/atom) = 0.28
- VASP energy (eV/atom) = -4.38